Below is a geometry-optimized Ti2MnHPt structure, with properties calculated at the PBE level.

abc: 4.1659 4.1659 3.4569
angles: 90.00 90.00 90.00
Fractional coordinates of all 5 atoms:
Ti 0.5000 0.0000 0.0000
H 0.0000 0.0000 0.0000
Pt 0.5000 0.5000 0.5000
Ti 0.0000 0.5000 0.0000
Mn 0.0000 0.0000 0.5000

Results
**Crystal system**: tetragonal



Below is a geometry-optimized UMnH8Pt2 structure, with properties calculated at the PBE level.

abc: 5.1103 5.1103 4.7795
angles: 90.00 90.00 120.00
Last column: magnetic moment on the atom in μB.
Fractional coordinates of all 12 atoms:
H 0.3600 0.1800 0.1255  0.00
H 0.1800 0.3600 0.8745  0.00
H 0.8200 0.1800 0.1255  0.00
H 0.8200 0.6400 0.1255  0.00
H 0.6400 0.8200 0.8745  0.00
Pt 0.6667 0.3333 0.3838  0.01
H 0.3333 0.6667 0.2814  0.00
Pt 0.3333 0.6667 0.6162  0.01
U 0.0000 0.0000 0.5000  -0.13
Mn 0.0000 0.0000 0.0000  0.05
H 0.6667 0.3333 0.7186  0.00
H 0.1800 0.8200 0.8745  0.00

Results
**Crystal system**: trigonal



Below is a geometry-optimized YMnHPt2 structure, with properties calculated at the PBE level.

abc: 4.4670 5.2870 4.4670
angles: 90.00 90.00 90.00
Fractional coordinates of all 5 atoms:
Mn 0.0000 0.0000 0.0000
Pt 0.5000 0.0000 0.0000
Pt 0.0000 0.0000 0.5000
H 0.5000 0.5000 0.5000
Y 0.0000 0.5000 0.0000

Results
**Crystal system**: tetragonal



Below is a geometry-optimized Y2MnHPt structure, with properties calculated at the PBE level.

abc: 4.8727 4.8727 3.6609
angles: 90.00 90.00 90.00
Last column: magnetic moment on the atom in μB.
Fractional coordinates of all 5 atoms:
Y 0.0000 0.5000 0.0000  -0.12
Pt 0.5000 0.5000 0.5000  0.09
Mn 0.0000 0.0000 0.5000  2.96
H 0.0000 0.0000 0.0000  -0.01
Y 0.5000 0.0000 0.0000  -0.12

Results
**Crystal system**: tetragonal



Below is a geometry-optimized Mn2ZnHPt structure, with properties calculated at the PBE level.

abc: 3.7427 3.7427 4.1209
angles: 90.00 90.00 90.00
Last column: magnetic moment on the atom in μB.
Fractional coordinates of all 5 atoms:
H 0.0000 0.0000 0.0000  -0.03
Mn 0.0000 0.5000 0.0000  3.00
Zn 0.0000 0.0000 0.5000  -0.04
Pt 0.5000 0.5000 0.5000  0.20
Mn 0.5000 0.0000 0.0000  3.00

Results
**Crystal system**: tetragonal



Below is a geometry-optimized Mn2ZnHPt structure, with properties calculated at the PBE level.

abc: 3.9275 3.9275 3.8563
angles: 90.00 90.00 90.00
Last column: magnetic moment on the atom in μB.
Fractional coordinates of all 5 atoms:
Zn 0.5000 0.5000 0.5000  -0.06
H 0.0000 0.0000 0.0000  -0.02
Pt 0.0000 0.0000 0.5000  0.19
Mn 0.5000 0.0000 0.0000  3.29
Mn 0.0000 0.5000 0.0000  3.29

Results
**Crystal system**: tetragonal



Below is a geometry-optimized MnZn2HPt structure, with properties calculated at the PBE level.

abc: 4.0783 4.0783 3.5432
angles: 90.00 90.00 90.00
Last column: magnetic moment on the atom in μB.
Fractional coordinates of all 5 atoms:
Pt 0.5000 0.5000 0.5000  -0.03
H 0.0000 0.0000 0.0000  -0.02
Zn 0.0000 0.5000 0.0000  -0.04
Mn 0.0000 0.0000 0.5000  2.98
Zn 0.5000 0.0000 0.0000  -0.04

Results
**Crystal system**: tetragonal



Below is a geometry-optimized Zr2MnHPt structure, with properties calculated at the PBE level.

abc: 4.5349 4.5349 3.5180
angles: 90.00 90.00 90.00
Last column: magnetic moment on the atom in μB.
Fractional coordinates of all 5 atoms:
H 0.0000 0.0000 0.0000  0.00
Zr 0.5000 0.0000 0.0000  -0.04
Zr 0.0000 0.5000 0.0000  -0.04
Pt 0.5000 0.5000 0.5000  0.00
Mn 0.0000 0.0000 0.5000  0.26

Results
**Crystal system**: tetragonal



no.,DOS(E_F) (states/eV per cell),electronic total energy (eV for the cell shown)
1,4.395,-37.0
2,2.725,-58.7
3,4.487,-27.4
4,4.079,-34.1
5,3.121,-29.6
6,2.809,-29.7
7,2.183,-21.8
8,4.529,-38.0